[1]
# PrIn4Cu2

PrIn4Cu2 after structural relaxation (PBE, Alexandria via LeMat-Bulk).

The structure in CIF format:
```
data_PrIn4Cu2
_cell_length_a 4.603
_cell_length_b 7.261
_cell_length_c 18.354
_cell_angle_alpha 90.00
_cell_angle_beta 90.00
_cell_angle_gamma 90.00
_space_group_name_H-M_alt 'P 1'
_space_group_IT_number 1
loop_
_space_group_symop_operation_xyz
'x,y,z'
loop_
_atom_site_label
_atom_site_type_symbol
_atom_site_fract_x
_atom_site_fract_y
_atom_site_fract_z
_atom_site_occupancy
In1 In 0.250 0.821 0.184 1
In2 In 0.250 0.154 0.531 1
In3 In 0.250 0.228 0.193 1
In4 In 0.250 0.999 0.929 1
In5 In 0.750 0.321 0.316 1
In6 In 0.750 0.728 0.307 1
In7 In 0.750 0.179 0.816 1
In8 In 0.750 0.499 0.571 1
In9 In 0.250 0.346 0.031 1
In10 In 0.750 0.001 0.071 1
In11 In 0.750 0.772 0.807 1
In12 In 0.250 0.501 0.429 1
In13 In 0.750 0.654 0.969 1
In14 In 0.750 0.846 0.469 1
In15 In 0.250 0.679 0.684 1
In16 In 0.250 0.272 0.693 1
Cu1 Cu 0.250 0.756 0.539 1
Cu2 Cu 0.750 0.469 0.719 1
Cu3 Cu 0.250 0.969 0.781 1
Cu4 Cu 0.250 0.531 0.281 1
Cu5 Cu 0.750 0.031 0.219 1
Cu6 Cu 0.750 0.256 0.961 1
Cu7 Cu 0.750 0.244 0.461 1
Cu8 Cu 0.250 0.744 0.039 1
Pr1 Pr 0.750 0.517 0.140 1
Pr2 Pr 0.250 0.017 0.360 1
Pr3 Pr 0.750 0.983 0.640 1
Pr4 Pr 0.250 0.483 0.860 1
```

***

[2]
# Pr2InCu2

Pr2InCu2 after structural relaxation (PBE, Alexandria via LeMat-Bulk).

The structure in CIF format:
```
data_Pr2InCu2
_cell_length_a 3.892
_cell_length_b 7.812
_cell_length_c 7.812
_cell_angle_alpha 90.00
_cell_angle_beta 90.00
_cell_angle_gamma 90.00
_space_group_name_H-M_alt 'P 1'
_space_group_IT_number 1
loop_
_space_group_symop_operation_xyz
'x,y,z'
loop_
_atom_site_label
_atom_site_type_symbol
_atom_site_fract_x
_atom_site_fract_y
_atom_site_fract_z
_atom_site_occupancy
Pr1 Pr 0.500 0.823 0.323 1
Pr2 Pr 0.500 0.177 0.677 1
Pr3 Pr 0.500 0.677 0.823 1
Pr4 Pr 0.500 0.323 0.177 1
Cu1 Cu 0.000 0.883 0.617 1
Cu2 Cu 0.000 0.117 0.383 1
Cu3 Cu 0.000 0.617 0.117 1
Cu4 Cu 0.000 0.383 0.883 1
In1 In 0.000 0.500 0.500 1
In2 In 0.000 0.000 0.000 1
```

***

[3]
# Pr2In8Cu

Pr2In8Cu after structural relaxation (PBE, Alexandria via LeMat-Bulk).

The structure in CIF format:
```
data_Pr2In8Cu
_cell_length_a 4.756
_cell_length_b 4.756
_cell_length_c 12.373
_cell_angle_alpha 90.00
_cell_angle_beta 90.00
_cell_angle_gamma 90.00
_space_group_name_H-M_alt 'P 1'
_space_group_IT_number 1
loop_
_space_group_symop_operation_xyz
'x,y,z'
loop_
_atom_site_label
_atom_site_type_symbol
_atom_site_fract_x
_atom_site_fract_y
_atom_site_fract_z
_atom_site_occupancy
In1 In 0.000 0.500 0.122 1
In2 In 0.000 0.500 0.500 1
In3 In 0.500 0.000 0.122 1
In4 In 0.500 0.000 0.500 1
In5 In 0.500 0.500 0.307 1
In6 In 0.000 0.500 0.878 1
In7 In 0.500 0.500 0.693 1
In8 In 0.500 0.000 0.878 1
Pr1 Pr 0.000 0.000 0.692 1
Pr2 Pr 0.000 0.000 0.308 1
Cu1 Cu 0.000 0.000 0.000 1
```

***

[4]
# PrIn8Cu2

PrIn8Cu2 after structural relaxation (PBE, Alexandria via LeMat-Bulk).

The structure in CIF format:
```
data_PrIn8Cu2
_cell_length_a 4.749
_cell_length_b 8.691
_cell_length_c 8.086
_cell_angle_alpha 57.49
_cell_angle_beta 82.61
_cell_angle_gamma 76.15
_space_group_name_H-M_alt 'P 1'
_space_group_IT_number 1
loop_
_space_group_symop_operation_xyz
'x,y,z'
loop_
_atom_site_label
_atom_site_type_symbol
_atom_site_fract_x
_atom_site_fract_y
_atom_site_fract_z
_atom_site_occupancy
Cu1 Cu 0.000 0.331 0.338 1
Cu2 Cu 0.000 0.669 0.662 1
In1 In 0.098 0.924 0.739 1
In2 In 0.098 0.663 0.261 1
In3 In 0.902 0.076 0.261 1
In4 In 0.314 0.383 0.000 1
In5 In 0.500 0.244 0.512 1
In6 In 0.500 0.756 0.488 1
In7 In 0.902 0.337 0.739 1
In8 In 0.686 0.617 0.000 1
Pr1 Pr 0.500 0.000 0.000 1
```

***

[5]
# Pr3InCu4

Pr3InCu4 after structural relaxation (PBE, Alexandria via LeMat-Bulk).

The structure in CIF format:
```
data_Pr3InCu4
_cell_length_a 3.941
_cell_length_b 6.536
_cell_length_c 8.418
_cell_angle_alpha 112.84
_cell_angle_beta 103.54
_cell_angle_gamma 90.00
_space_group_name_H-M_alt 'P 1'
_space_group_IT_number 1
loop_
_space_group_symop_operation_xyz
'x,y,z'
loop_
_atom_site_label
_atom_site_type_symbol
_atom_site_fract_x
_atom_site_fract_y
_atom_site_fract_z
_atom_site_occupancy
Cu1 Cu 0.373 0.560 0.746 1
Cu2 Cu 0.373 0.186 0.746 1
Cu3 Cu 0.627 0.440 0.254 1
Cu4 Cu 0.627 0.814 0.254 1
Pr1 Pr 0.809 0.809 0.617 1
Pr2 Pr 0.000 0.500 0.000 1
Pr3 Pr 0.191 0.191 0.383 1
In1 In 0.500 0.000 0.000 1
```

***

[6]
# Pr11In9Cu4

Pr11In9Cu4 after structural relaxation (PBE, Alexandria via LeMat-Bulk).

The structure in CIF format:
```
data_Pr11In9Cu4
_cell_length_a 3.860
_cell_length_b 13.535
_cell_length_c 13.535
_cell_angle_alpha 112.74
_cell_angle_beta 90.00
_cell_angle_gamma 90.00
_space_group_name_H-M_alt 'P 1'
_space_group_IT_number 1
loop_
_space_group_symop_operation_xyz
'x,y,z'
loop_
_atom_site_label
_atom_site_type_symbol
_atom_site_fract_x
_atom_site_fract_y
_atom_site_fract_z
_atom_site_occupancy
Pr1 Pr 0.000 0.000 0.000 1
Pr2 Pr 0.000 0.068 0.413 1
Pr3 Pr 0.000 0.309 0.309 1
Pr4 Pr 0.000 0.932 0.587 1
Pr5 Pr 0.000 0.163 0.837 1
Pr6 Pr 0.000 0.413 0.068 1
Pr7 Pr 0.000 0.373 0.627 1
Pr8 Pr 0.000 0.691 0.691 1
Pr9 Pr 0.000 0.587 0.932 1
Pr10 Pr 0.000 0.627 0.373 1
Pr11 Pr 0.000 0.837 0.163 1
In1 In 0.500 0.369 0.837 1
In2 In 0.500 0.163 0.631 1
In3 In 0.500 0.078 0.219 1
In4 In 0.500 0.219 0.078 1
In5 In 0.500 0.781 0.922 1
In6 In 0.500 0.922 0.781 1
In7 In 0.500 0.631 0.163 1
In8 In 0.500 0.500 0.500 1
In9 In 0.500 0.837 0.369 1
Cu1 Cu 0.500 0.551 0.752 1
Cu2 Cu 0.500 0.752 0.551 1
Cu3 Cu 0.500 0.248 0.449 1
Cu4 Cu 0.500 0.449 0.248 1
```

***

[7]
# PrIn6Cu6

PrIn6Cu6 after structural relaxation (PBE, Alexandria via LeMat-Bulk).

The structure in CIF format:
```
data_PrIn6Cu6
_cell_length_a 7.143
_cell_length_b 7.143
_cell_length_c 7.143
_cell_angle_alpha 134.65
_cell_angle_beta 98.79
_cell_angle_gamma 98.31
_space_group_name_H-M_alt 'P 1'
_space_group_IT_number 1
loop_
_space_group_symop_operation_xyz
'x,y,z'
loop_
_atom_site_label
_atom_site_type_symbol
_atom_site_fract_x
_atom_site_fract_y
_atom_site_fract_z
_atom_site_occupancy
Pr1 Pr 0.000 0.000 0.000 1
Cu1 Cu 0.765 0.500 0.265 1
Cu2 Cu 0.235 0.500 0.735 1
Cu3 Cu 0.500 0.000 0.000 1
Cu4 Cu 0.000 0.500 0.000 1
Cu5 Cu 0.000 0.000 0.500 1
Cu6 Cu 0.500 0.500 0.500 1
In1 In 0.656 0.656 0.000 1
In2 In 0.339 0.000 0.339 1
In3 In 0.661 0.000 0.661 1
In4 In 0.344 0.344 0.000 1
In5 In 0.188 0.688 0.500 1
In6 In 0.812 0.312 0.500 1
```

***

[8]
# Pr12InCu6

Pr12InCu6 after structural relaxation (PBE, Alexandria via LeMat-Bulk).

The structure in CIF format:
```
data_Pr12InCu6
_cell_length_a 8.916
_cell_length_b 8.916
_cell_length_c 8.916
_cell_angle_alpha 109.47
_cell_angle_beta 109.47
_cell_angle_gamma 109.47
_space_group_name_H-M_alt 'P 1'
_space_group_IT_number 1
loop_
_space_group_symop_operation_xyz
'x,y,z'
loop_
_atom_site_label
_atom_site_type_symbol
_atom_site_fract_x
_atom_site_fract_y
_atom_site_fract_z
_atom_site_occupancy
Pr1 Pr 0.486 0.187 0.299 1
Pr2 Pr 0.889 0.187 0.701 1
Pr3 Pr 0.299 0.486 0.187 1
Pr4 Pr 0.701 0.514 0.813 1
Pr5 Pr 0.187 0.701 0.889 1
Pr6 Pr 0.813 0.701 0.514 1
Pr7 Pr 0.299 0.111 0.813 1
Pr8 Pr 0.514 0.813 0.701 1
Pr9 Pr 0.701 0.889 0.187 1
Pr10 Pr 0.111 0.813 0.299 1
Pr11 Pr 0.187 0.299 0.486 1
Pr12 Pr 0.813 0.299 0.111 1
In1 In 0.000 0.000 0.000 1
Cu1 Cu 0.120 0.620 0.500 1
Cu2 Cu 0.500 0.880 0.380 1
Cu3 Cu 0.500 0.120 0.620 1
Cu4 Cu 0.380 0.500 0.880 1
Cu5 Cu 0.620 0.500 0.120 1
Cu6 Cu 0.880 0.380 0.500 1
```

***

What did we get for V? Answer: 21.91 23.76 25.45 24.84 24.16 27.17 18.40 28.72 Å³/atom, in the order shown.
What did we get for uncorrected energy? Answer: -3.6542 -4.4185 -3.5672 -3.2250 -4.2638 -4.3152 -3.6654 -4.5720 eV per atom, in the order shown.
What did we get for ΔE_f? Answer: -0.236 -0.321 -0.334 -0.054 -0.081 -0.415 -0.143 -0.116 eV per atom, in the order shown.